Entry 1:
MnH4Pd12: relaxed, PBE.

Unit cell a=6.5478 b=6.5478 c=6.5478 alpha=109.47 beta=109.47 gamma=109.47
Last column: nearest neighbours and their distance in Å.
Positions (direct):
H  0.5000  0.5000  0.5000  6 Pd 2.01
Pd  0.1833  0.3090  0.4923  2 H 2.01
Mn  0.0000  0.0000  0.0000  12 Pd 2.72
Pd  0.6910  0.8743  0.1833  2 H 2.01
H  0.0000  0.0000  0.5000  6 Pd 2.01
Pd  0.5077  0.8167  0.6910  2 H 2.01
Pd  0.1257  0.8167  0.3090  2 H 2.01
Pd  0.3090  0.4923  0.1833  2 H 2.01
Pd  0.8167  0.3090  0.1257  2 H 2.01
Pd  0.3090  0.1257  0.8167  2 H 2.01
Pd  0.4923  0.1833  0.3090  2 H 2.01
H  0.5000  0.0000  0.0000  6 Pd 2.01
H  0.0000  0.5000  0.0000  6 Pd 2.01
Pd  0.8167  0.6910  0.5077  2 H 2.01
Pd  0.8743  0.1833  0.6910  2 H 2.01
Pd  0.1833  0.6910  0.8743  2 H 2.01
Pd  0.6910  0.5077  0.8167  2 H 2.01

Calculated values
E_tot (eV per cell): -85.277


Entry 2:
AcThAgSb: relaxed, PBE.

Unit cell a=5.5276 b=5.5276 c=5.5276 alpha=60.00 beta=60.00 gamma=60.00
Last column: nearest neighbours and their distance in Å.
Positions (direct):
Sb  0.7500  0.7500  0.7500  4 Ac 3.38, 4 Th 3.38
Ag  0.2500  0.2500  0.2500  4 Ac 3.38, 4 Th 3.38
Ac  0.5000  0.5000  0.5000  4 Sb 3.38, 4 Ag 3.38
Th  0.0000  0.0000  0.0000  4 Ag 3.38, 4 Sb 3.38

Calculated values
Uncorrected formation energy (kcal/mol of atoms): -9.0
E_tot (eV per cell): -20.069


Entry 3:
CePr4Th3N8: relaxed, PBE.

Unit cell a=7.3344 b=7.3348 c=7.3338 alpha=120.00 beta=120.00 gamma=90.00
Last column: nearest neighbours and their distance in Å.
Positions (direct):
Th  0.5000  0.5000  0.0000  6 N 2.53
Pr  0.0000  0.0000  0.5000  6 N 2.66
Th  0.0000  0.5000  0.5000  6 N 2.53
N  0.2564  0.2692  0.5128  3 Th 2.53, 3 Pr 2.66
Pr  0.5000  0.0000  0.0000  6 N 2.66
N  0.7436  0.7308  0.4872  3 Th 2.53, 3 Pr 2.66
Ce  0.0000  0.5000  0.0000  6 N 2.53
Pr  0.0000  0.0000  0.0000  6 N 2.66
Th  0.5000  0.5000  0.5000  6 N 2.53
N  0.7565  0.2695  0.0130  2 Th 2.53, 1 Ce 2.53, 3 Pr 2.66
N  0.2565  0.2695  0.0130  2 Th 2.53, 1 Ce 2.53, 3 Pr 2.66
N  0.2436  0.7306  0.4871  1 Ce 2.53, 2 Th 2.53, 3 Pr 2.66
N  0.2435  0.7305  0.9870  2 Th 2.53, 1 Ce 2.53, 3 Pr 2.66
N  0.7435  0.7305  0.9870  2 Th 2.53, 1 Ce 2.53, 3 Pr 2.66
N  0.7564  0.2694  0.5129  1 Ce 2.53, 2 Th 2.53, 3 Pr 2.66
Pr  0.5000  0.0000  0.5000  6 N 2.66

Calculated values
Uncorrected formation energy (kcal/mol of atoms): -34.1
E_tot (eV per cell): -137.603


Entry 4:
BrO: relaxed, PBE.

Unit cell a=7.3661 b=7.3661 c=3.7893 alpha=90.00 beta=90.00 gamma=90.00
Last column: nearest neighbours and their distance in Å.
Positions (direct):
Br  0.6638  0.3362  0.5000  2 O 1.90
O  0.6819  0.3181  0.0000  2 Br 1.90
Br  0.8362  0.8362  0.0000  2 O 1.90
Br  0.3362  0.6638  0.5000  2 O 1.90
O  0.1819  0.1819  0.5000  2 Br 1.90
O  0.8181  0.8181  0.5000  2 Br 1.90
O  0.3181  0.6819  0.0000  2 Br 1.90
Br  0.1638  0.1638  0.0000  2 O 1.90

Calculated values
Distance to the lowest polymorph of the same formula (meV/atom): 332
Uncorrected formation energy (kcal/mol of atoms): 11.0
E_tot (eV per cell): -22.721


Entry 5:
UTcRu2: relaxed, PBE.

Unit cell a=3.9779 b=4.0250 c=4.0250 alpha=90.00 beta=90.00 gamma=90.00
Last column: nearest neighbours and their distance in Å.
Positions (direct):
U  0.5000  0.5000  0.5000  8 Ru 2.83, 4 Tc 2.85
Ru  0.0000  0.5000  0.0000  4 Tc 2.83, 4 U 2.83, 4 Ru 2.85
Ru  0.0000  0.0000  0.5000  4 Tc 2.83, 4 U 2.83, 4 Ru 2.85
Tc  0.5000  0.0000  0.0000  8 Ru 2.83, 4 U 2.85

Calculated values
Energy relative to the elements (eV/atom): -0.213
Distance to the lowest polymorph of the same formula (meV/atom): 0
E_tot (eV per cell): -41.058


Entry 6:
LaPr2SbN4: relaxed, PBE.

Unit cell a=3.7757 b=6.3640 c=12.4847 alpha=90.00 beta=90.00 gamma=107.26
Last column: nearest neighbours and their distance in Å.
Positions (direct):
N  0.7213  0.4426  0.8669  1 Sb 2.08
La  0.8937  0.7875  0.2500  6 N 2.77-2.86
N  0.0000  0.0000  0.0000  4 Pr 2.50
La  0.1063  0.2125  0.7500  6 N 2.77-2.86
Sb  0.1566  0.3132  0.2500  4 N 2.08-2.16
N  0.0000  0.0000  0.5000  4 Pr 2.50
Pr  0.6294  0.2587  0.0379  3 N 2.41-2.50
N  0.5701  0.1403  0.2500  2 Sb 2.16
Sb  0.8434  0.6868  0.7500  4 N 2.08-2.16
Pr  0.3706  0.7413  0.5379  3 N 2.41-2.50
N  0.2787  0.5574  0.1331  1 Sb 2.08
N  0.4299  0.8597  0.7500  2 Sb 2.16
Pr  0.6294  0.2587  0.4621  3 N 2.41-2.50
N  0.7213  0.4426  0.6331  1 Sb 2.08
N  0.2787  0.5574  0.3669  1 Sb 2.08
Pr  0.3706  0.7413  0.9621  3 N 2.41-2.50

Calculated values
Uncorrected formation energy (kcal/mol of atoms): -15.0
E_tot (eV per cell): -114.201